1.
A plane-wave DFT calculation with PBE was carried out for a relaxed structure of SmEu2Lu.

Properties
- Energy above the lowest structure with this stoichiometry: 0.0 meV per atom

extended XYZ file:
```
4
Lattice="-2.7060 1.6023 1.8416 -2.1895 -0.3775 -2.8887 -3.1397 -9.4576 3.6156" Properties=species:S:1:pos:R:3 pbc="T T T"
Eu -2.3732 -7.1489 2.7330
Eu -0.7664 -2.3087 0.8826
Lu -2.4477 0.6124 -0.5236
Sm -4.0176 -4.1164 1.2842
```

2.
A plane-wave DFT calculation with PBE was carried out for a relaxed structure of SmEu2Lu.

Properties
- Energy above the lowest structure with this stoichiometry: 6.3 meV per atom

extended XYZ file:
```
4
Lattice="-1.9250 4.8471 0.7672 -4.8069 -1.8196 -0.5646 -0.2544 -0.9057 5.0844" Properties=species:S:1:pos:R:3 pbc="T T T"
Eu -0.1272 -0.4529 2.5422
Eu -2.4035 -0.9098 -0.2823
Lu -3.4931 1.0609 2.6435
Sm -0.9625 2.4235 0.3836
```

3.
A plane-wave DFT calculation with PBE was carried out for a relaxed structure of SmEuLuSn.

Properties
- Total DFT energy (no corrections): -6.092 eV/atom

extended XYZ file:
```
4
Lattice="5.4644 0.0000 0.0000 2.7322 4.7323 0.0000 2.7322 1.5774 4.4617" Properties=species:S:1:pos:R:3 pbc="T T T"
Eu 0.0000 0.0000 0.0000
Lu 8.1966 4.7323 3.3463
Sn 5.4644 3.1549 2.2308
Sm 2.7322 1.5774 1.1154
```

4.
A plane-wave DFT calculation with PBE was carried out for a relaxed structure of SmEuLuTl.

Properties
- Total DFT energy (no corrections): -5.519 eV/atom

extended XYZ file:
```
4
Lattice="-1.8746 5.0760 -1.3432 -4.4412 2.1159 2.6233 0.6272 4.2377 3.5682" Properties=species:S:1:pos:R:3 pbc="T T T"
Eu -1.4222 2.8574 1.2121
Tl 0.0000 0.0000 0.0000
Lu -2.8443 5.7147 2.4242
Sm -4.2665 8.5721 3.6363
```

5.
A plane-wave DFT calculation with PBE was carried out for a relaxed structure of EuLuSn.

Properties
- Energy above the lowest structure with this stoichiometry: 0.0 meV per atom

extended XYZ file:
```
3
Lattice="3.7707 0.0000 0.0000 0.0000 5.2873 0.0000 0.0000 -2.6436 4.5789" Properties=species:S:1:pos:R:3 pbc="T T T"
Eu 2.5129 0.0000 3.0526
Lu 0.6272 2.6436 1.5263
Sn 0.6305 0.0000 0.0000
```

6.
A plane-wave DFT calculation with PBE was carried out for a relaxed structure of EuLuSn2.

Properties
- Energy above the lowest structure with this stoichiometry: 24.2 meV per atom

extended XYZ file:
```
4
Lattice="4.4376 0.0000 0.0000 0.0000 4.9522 0.0000 0.0000 0.0000 4.9522" Properties=species:S:1:pos:R:3 pbc="T T T"
Eu 2.2188 2.4761 2.4761
Lu 2.2188 0.0000 0.0000
Sn 0.0000 0.0000 2.4761
Sn 0.0000 2.4761 0.0000
```

7.
A plane-wave DFT calculation with PBE was carried out for a relaxed structure of EuLu2Sn.

Properties
- Energy above the lowest structure with this stoichiometry: 177.2 meV per atom

extended XYZ file:
```
4
Lattice="-1.7302 2.4917 -4.4503 1.1727 -2.0272 -4.8500 -3.8804 -2.2276 -2.9976" Properties=species:S:1:pos:R:3 pbc="T T T"
Eu 0.0000 0.0000 0.0000
Lu -1.1093 -0.4407 -3.0745
Lu -3.3286 -1.3224 -9.2234
Sn -2.2190 -0.8815 -6.1489
```

8.
A plane-wave DFT calculation with PBE was carried out for a relaxed structure of EuLuSn2.

Properties
- Energy above the lowest structure with this stoichiometry: 55.9 meV per atom

extended XYZ file:
```
4
Lattice="5.3945 0.0000 0.0000 2.6972 4.6717 0.0000 2.6972 1.5572 4.4046" Properties=species:S:1:pos:R:3 pbc="T T T"
Eu 0.0000 0.0000 0.0000
Lu 5.3945 3.1145 2.2023
Sn 2.6972 1.5572 1.1011
Sn 8.0917 4.6717 3.3034
```

- What is the formula in the second record?
  SmEu2Lu